Material: SmErNiIr
Method: DFT, PBE
State: optimized geometry

Output
- energy of formation (eV/atom) = -0.625

Cell: 4.094 3.887 10.679 Å, 90.00 90.00 90.00°
Space group Amm2 (No. 38)
Unique sites:
Sm1 0.000 0.000 0.000 (multiplicity 2)
Er1 0.500 0.000 0.716 (multiplicity 2)
Ni1 0.500 0.000 0.429 (multiplicity 2)
Ir1 0.000 0.000 0.278 (multiplicity 2)